The following is a PBE calculation of a relaxed structure of SrGa2I4, from Alexandria.

The distance to the lowest polymorph of the same formula comes out at 9.58 kJ/mol of atoms. The calculation puts the uncorrected formation energy at -0.8008 eV/atom. Its space group is I4/mmm, No. 139.

Cell lengths 6.574, 6.574, 8.948 Å; angles 111.55, 111.55, 90.00 degrees
Positions (direct):
1 I 0.789 0.789 0.579
2 I 0.211 0.211 0.421
3 I 0.000 0.500 0.000
4 I 0.500 0.000 0.000
5 Sr 0.000 0.000 0.000
6 Ga 0.604 0.604 0.208
7 Ga 0.396 0.396 0.792

---

The following is a PBE calculation of a relaxed structure of Pr2SnH3, from Alexandria.

Its space group is C2/m, No. 12.

Cell lengths 3.957, 8.728, 7.898 Å; angles 124.24, 90.00, 103.10 degrees
Positions (direct):
1 Pr 0.533 0.066 0.776
2 Pr 0.467 0.934 0.224
3 Pr 0.207 0.413 0.722
4 Pr 0.793 0.587 0.278
5 Sn 0.116 0.232 0.202
6 Sn 0.884 0.768 0.798
7 H 0.698 0.395 0.907
8 H 0.073 0.145 0.712
9 H 0.398 0.797 0.428
10 H 0.602 0.203 0.572
11 H 0.927 0.855 0.288
12 H 0.302 0.605 0.093

---

| no. | final energy (eV/atom) |
| --- | --- |
| 1 | -2.79 |
| 2 | -4.53 |